--- w ---
Density functional theory data (PBE-GGA) for Li2Hf2I after structural relaxation.

Results
size of the total moment	0.000	μB per atom
calculated volume	204.76	Å³/cell
space group	P4/mbm (127)

Unit cell a=6.328 b=6.328 c=5.113 alpha=90.00 beta=90.00 gamma=90.00
Element x y z (fractional)
Hf  0.664  0.836  0.500
Hf  0.836  0.336  0.500
Hf  0.336  0.164  0.500
I  0.000  0.000  0.000
I  0.500  0.500  0.000
Li  0.627  0.127  0.000
Li  0.127  0.373  0.000
Li  0.873  0.627  0.000
Li  0.373  0.873  0.000
Hf  0.164  0.664  0.500

--- x ---
Density functional theory data (PBE-GGA) for Li2Hf2I after structural relaxation.

Results
size of the total moment	0.000	μB per atom
calculated volume	135.86	Å³/cell
space group	I4/mmm (139)

Unit cell a=3.898 b=3.898 c=9.356 alpha=77.98 beta=77.98 gamma=90.00
Element x y z (fractional)
Hf  0.250  0.750  0.500
Li  0.407  0.407  0.186
I  0.000  0.000  0.000
Li  0.593  0.593  0.814
Hf  0.750  0.250  0.500

Of them, w has the lowest stability.

--- w ---
Density functional theory data (PBE-GGA) for LiHf2I after structural relaxation.

Results
size of the total moment	0.000	μB per atom
calculated volume	186.40	Å³/cell
space group	I-42d (122)

Unit cell a=4.066 b=4.066 c=11.638 alpha=79.94 beta=79.94 gamma=90.00
Element x y z (fractional)
Hf  0.122  0.625  0.250
Li  0.500  0.500  0.000
I  0.000  0.000  0.000
Li  0.250  0.750  0.500
I  0.750  0.250  0.500
Hf  0.875  0.878  0.750
Hf  0.628  0.125  0.250
Hf  0.375  0.372  0.750

--- x ---
Density functional theory data (PBE-GGA) for LiHf2I after structural relaxation.

Results
size of the total moment	0.000	μB per atom
calculated volume	84.41	Å³/cell
space group	Fm-3m (225)

Unit cell a=4.924 b=4.924 c=4.924 alpha=60.00 beta=60.00 gamma=60.00
Element x y z (fractional)
Hf  0.250  0.250  0.250
Li  0.000  0.000  0.000
I  0.500  0.500  0.500
Hf  0.750  0.750  0.750

Of them, x has the lowest stability.

--- w ---
Density functional theory data (PBE-GGA) for Li2HfI after structural relaxation.

Results
size of the total moment	0.000	μB per atom
calculated volume	84.47	Å³/cell
space group	Fm-3m (225)

Unit cell a=4.925 b=4.925 c=4.925 alpha=60.00 beta=60.00 gamma=60.00
Element x y z (fractional)
Li  0.250  0.250  0.250
Li  0.750  0.750  0.750
I  0.000  0.000  0.000
Hf  0.500  0.500  0.500

--- x ---
Density functional theory data (PBE-GGA) for Li2HfI after structural relaxation.

Results
size of the total moment	0.000	μB per atom
calculated volume	179.17	Å³/cell
space group	I-42d (122)

Unit cell a=7.939 b=7.939 c=6.292 alpha=50.89 beta=50.89 gamma=90.00
Element x y z (fractional)
I  0.500  0.500  0.000
Li  0.875  0.838  0.750
I  0.250  0.750  0.500
Hf  0.000  0.000  0.000
Li  0.162  0.625  0.250
Li  0.588  0.125  0.250
Li  0.375  0.412  0.750
Hf  0.750  0.250  0.500

Of them, w has the lowest stability.